(1)
{
  "formula": "KPu2MnO8",
  "functional": "GGA+U",
  "state": "relaxed",
  "total_energy_ev_per_atom": -8.594,
  "lattice": [[-1.2846, -4.9031, 0.4780], [2.4263, -1.4006, -4.2459], [5.8152, -1.2809, 3.6178]],
  "species": ["O", "O", "O", "O", "O", "O", "O", "O", "Mn", "K", "Pu", "Pu"],
  "frac_coords": [[0.3176, 0.3154, 0.9913], [0.2244, 0.7705, 0.7809], [0.6603, 0.6632, 0.5229], [0.7756, 0.2295, 0.2191], [0.3397, 0.3368, 0.4771], [0.7728, 0.2270, 0.7808], [0.2272, 0.7730, 0.2192], [0.6824, 0.6846, 0.0087], [0.0000, 0.0000, 0.0000], [0.0000, 0.0000, 0.5000], [0.4955, 0.4956, 0.7572], [0.5045, 0.5044, 0.2428]]
}

---

(2)
{
  "formula": "K3PuMn2O9",
  "functional": "GGA+U",
  "state": "relaxed",
  "total_energy_ev_per_atom": -6.836,
  "lattice": [[5.6656, 0.0000, 0.0000], [-2.8328, 4.9066, 0.0000], [0.0000, 0.0000, 7.0014]],
  "species": ["Pu", "O", "O", "O", "O", "O", "O", "O", "O", "O", "Mn", "Mn", "K", "K", "K"],
  "frac_coords": [[0.0000, 0.0000, 0.5000], [0.1671, 0.8329, 0.3317], [0.5000, 0.0000, 0.0000], [0.5000, 0.5000, 0.0000], [0.0000, 0.5000, 0.0000], [0.1671, 0.3342, 0.3317], [0.8329, 0.1671, 0.6683], [0.6658, 0.8329, 0.3317], [0.8329, 0.6658, 0.6683], [0.3342, 0.1671, 0.6683], [0.3333, 0.6667, 0.1534], [0.6667, 0.3333, 0.8466], [0.6667, 0.3333, 0.3221], [0.0000, 0.0000, 0.0000], [0.3333, 0.6667, 0.6779]]
}

---

(3)
{
  "formula": "K2PuMnO4",
  "functional": "GGA+U",
  "state": "relaxed",
  "total_energy_ev_per_atom": -7.554,
  "lattice": [[3.4867, 0.0000, 0.0000], [0.0000, 5.7880, 0.0856], [0.0000, -2.0414, 6.1884]],
  "species": ["Mn", "O", "O", "O", "O", "K", "K", "Pu"],
  "frac_coords": [[0.0000, 0.0000, 0.0000], [0.0000, 0.7241, 0.1896], [0.5000, 0.2396, 0.1833], [0.5000, 0.7604, 0.8167], [0.0000, 0.2759, 0.8104], [0.0000, 0.5000, 0.5000], [0.5000, 0.0000, 0.5000], [0.5000, 0.5000, 0.0000]]
}

---

(4)
{
  "formula": "K4Pu3MnO8",
  "functional": "GGA+U",
  "state": "relaxed",
  "total_energy_ev_per_atom": -8.147,
  "lattice": [[7.0137, 0.0000, 0.0000], [0.0000, 7.4344, 0.2588], [-3.5068, -3.4805, 4.9790]],
  "species": ["O", "O", "O", "O", "O", "O", "O", "O", "K", "K", "K", "K", "Mn", "Pu", "Pu", "Pu"],
  "frac_coords": [[0.2306, 0.6851, 0.9544], [0.7694, 0.3149, 0.0456], [0.7693, 0.3148, 0.5386], [0.2307, 0.6852, 0.4614], [0.2698, 0.3094, 0.5397], [0.7302, 0.6906, 0.4603], [0.2761, 0.3149, 0.0456], [0.7239, 0.6851, 0.9544], [0.0000, 0.0000, 0.0000], [0.5000, 0.0000, 0.5000], [0.0000, 0.0000, 0.5000], [0.5000, 0.0000, 0.0000], [0.0000, 0.5000, 0.0000], [0.5000, 0.5000, 0.0000], [0.5000, 0.5000, 0.5000], [0.0000, 0.5000, 0.5000]]
}

---

(5)
{
  "formula": "K4Pu3MnO12",
  "functional": "GGA+U",
  "state": "relaxed",
  "total_energy_ev_per_atom": -8.063,
  "lattice": [[-3.1502, -1.3986, -6.4798], [6.4800, -3.4274, 0.3605], [-4.3449, -2.4075, 5.4031]],
  "species": ["O", "O", "O", "O", "O", "O", "O", "O", "O", "O", "O", "O", "Mn", "K", "K", "K", "K", "Pu", "Pu", "Pu"],
  "frac_coords": [[0.0000, 0.2669, 0.2669], [0.7331, 0.7331, 0.0000], [0.7500, 0.2500, 0.5000], [0.2669, 0.2669, 0.0000], [0.2500, 0.5000, 0.7500], [0.0000, 0.7331, 0.7331], [0.7500, 0.5000, 0.2500], [0.2500, 0.7500, 0.5000], [0.7331, 0.0000, 0.7331], [0.5000, 0.7500, 0.2500], [0.5000, 0.2500, 0.7500], [0.2669, 0.0000, 0.2669], [0.0000, 0.0000, 0.0000], [0.0000, 0.0000, 0.5000], [0.0000, 0.5000, 0.0000], [0.5000, 0.0000, 0.0000], [0.5000, 0.5000, 0.5000], [0.5000, 0.5000, 0.0000], [0.5000, 0.0000, 0.5000], [0.0000, 0.5000, 0.5000]]
}

---

(6)
{
  "formula": "KRbMnO4",
  "functional": "GGA+U",
  "state": "relaxed",
  "total_energy_ev_per_atom": -5.301,
  "lattice": [[6.7551, 0.0000, 0.0000], [3.3775, 5.8501, 0.0000], [3.3775, 1.9500, 5.5155]],
  "species": ["Rb", "O", "O", "O", "O", "Mn", "K"],
  "frac_coords": [[0.7500, 0.7500, 0.7500], [0.3506, 0.3506, 0.3506], [0.3506, 0.9482, 0.3506], [0.3506, 0.3506, 0.9482], [0.9482, 0.3506, 0.3506], [0.2500, 0.2500, 0.2500], [0.5000, 0.5000, 0.5000]]
}

---

(7)
{
  "formula": "K3MnRe2O9",
  "functional": "GGA+U",
  "state": "relaxed",
  "total_energy_ev_per_atom": -7.087,
  "lattice": [[5.6838, 0.0000, 0.0000], [-2.8419, 4.9223, 0.0000], [0.0000, 0.0000, 7.0262]],
  "species": ["O", "O", "O", "O", "O", "O", "O", "O", "O", "K", "K", "K", "Re", "Re", "Mn"],
  "frac_coords": [[0.8237, 0.1763, 0.6870], [0.1763, 0.3526, 0.3130], [0.5000, 0.0000, 0.0000], [0.3526, 0.1763, 0.6870], [0.8237, 0.6474, 0.6870], [0.5000, 0.5000, 0.0000], [0.1763, 0.8237, 0.3130], [0.0000, 0.5000, 0.0000], [0.6474, 0.8237, 0.3130], [0.0000, 0.0000, 0.0000], [0.6667, 0.3333, 0.3348], [0.3333, 0.6667, 0.6652], [0.3333, 0.6667, 0.1697], [0.6667, 0.3333, 0.8303], [0.0000, 0.0000, 0.5000]]
}

---

(8)
{
  "formula": "K3MnRe2O8",
  "functional": "GGA+U",
  "state": "relaxed",
  "total_energy_ev_per_atom": -6.962,
  "lattice": [[5.9439, 0.0000, 0.0000], [-2.9719, 5.1475, 0.0000], [0.0000, 0.0000, 7.7195]],
  "species": ["Mn", "O", "O", "O", "O", "O", "O", "O", "O", "Re", "Re", "K", "K", "K"],
  "frac_coords": [[0.0000, 0.0000, 0.5000], [0.8306, 0.6612, 0.6764], [0.3333, 0.6667, 0.9925], [0.6667, 0.3333, 0.0075], [0.3388, 0.1694, 0.6764], [0.8306, 0.1694, 0.6764], [0.6612, 0.8306, 0.3236], [0.1694, 0.8306, 0.3236], [0.1694, 0.3388, 0.3236], [0.6667, 0.3333, 0.7760], [0.3333, 0.6667, 0.2240], [0.3333, 0.6667, 0.6579], [0.0000, 0.0000, 0.0000], [0.6667, 0.3333, 0.3422]]
}